The following is a GGA-PBE calculation of a relaxed structure of Cu5Ag2, from OQMD via LeMat-Bulk.

The structure in POSCAR format:
```
Cu5Ag2
1.0
4.490 -1.368 0.000
4.490 1.368 0.000
-0.367 0.000 7.737
Cu Ag
5 2
direct
0.000 0.000 0.000 Cu
0.152 0.152 0.580 Cu
0.291 0.291 0.132 Cu
0.709 0.709 0.868 Cu
0.848 0.848 0.420 Cu
0.428 0.428 0.712 Ag
0.572 0.572 0.288 Ag
```

Summary:
The value obtained for the mass density is 9.3 g/cm3. The relative energy among the computed polymorphs comes out at 0.039 eV per atom. Its space group is No. 12.